Density functional theory data (PBE) for a geometry-optimized KCa2Tb structure.

Properties
**Formation enthalpy at 0 K**: 162 meV per atom
**N(E_F)**: 5.40 states/eV/f.u.
**E_tot**: -2.271 eV per atom

Lattice parameters (Å, degrees): 3.8319 3.8319 12.0078 90.00 90.00 90.00
Closest atoms and distances in Å follow each position.
Space group P4/mmm (No. 123)
One atom of each set of equivalent atoms:
1 K 0.0000 0.0000 0.0000 [1 per cell]  4 K 3.83
2 Ca 0.5000 0.5000 0.2895 [2 per cell]  4 Tb 3.71, 4 Ca 3.83
3 Tb 0.0000 0.0000 0.5000 [1 per cell]  8 Ca 3.71, 4 Tb 3.83


Density functional theory data (PBE) for a geometry-optimized PuGaSi structure.

Properties
**N(E_F)**: 8.38 states/eV/f.u.
**Formation energy (no corrections)**: 0.0 eV per formula unit
**E_tot**: -7.603 eV per atom

Lattice parameters (Å, degrees): 3.9655 3.9655 8.1414 90.00 90.00 90.00
Closest atoms and distances in Å follow each position.
Space group I4mm (No. 107)
One atom of each set of equivalent atoms:
1 Pu 0.0000 0.0000 0.0000 [2 per cell]  5 Ga 2.80-3.08, 5 Si 2.87-3.05
2 Ga 0.0000 0.0000 0.6557 [2 per cell]  1 Si 2.47
3 Si 0.0000 0.0000 0.3520 [2 per cell]  1 Ga 2.47


Density functional theory data (PBE) for a geometry-optimized CrAs2 structure.

Properties
**Formation enthalpy at 0 K**: 306 meV per atom
**N(E_F)**: 2.07 states/eV/f.u.
**E_tot**: -6.001 eV per atom

Lattice parameters (Å, degrees): 4.6941 4.6941 5.2504 90.00 90.00 120.00
Closest atoms and distances in Å follow each position.
Space group P6_3/mmc (No. 194)
One atom of each set of equivalent atoms:
1 Cr 0.3333 0.6667 0.2500 [2 per cell]  5 As 2.63-2.71
2 As 0.0000 0.0000 0.0000 [2 per cell]  2 As 2.63
3 As 0.3333 0.6667 0.7500 [2 per cell]  5 Cr 2.63-2.71


Density functional theory data (PBE) for a geometry-optimized AcMgIr2O8 structure.

Properties
**N(E_F)**: 9.57 states/eV/f.u.
**Formation energy (no corrections)**: -15.0 eV per formula unit
**E_tot**: -6.504 eV per atom

Lattice parameters (Å, degrees): 5.3080 5.3080 6.1692 90.00 90.00 120.00
Closest atoms and distances in Å follow each position.
Space group P-3 (No. 147)
One atom of each set of equivalent atoms:
1 Ac 0.0000 0.0000 0.0000 [1 per cell]  6 O 2.80, 2 Mg 3.08
2 Mg 0.0000 0.0000 0.5000 [1 per cell]  6 O 2.02
3 Ir 0.3333 0.6667 0.4433 [2 per cell]  7 O 1.94-2.09
4 O 0.0587 0.3633 0.6513 [6 per cell]  2 Ir 2.00-2.09, 1 Mg 2.02
5 O 0.3333 0.6667 0.1281 [2 per cell]  1 Ir 1.94


Density functional theory data (PBE) for a geometry-optimized Rb2AlAg structure.

Properties
**Formation enthalpy at 0 K**: 206 meV per atom
**N(E_F)**: 4.07 states/eV/f.u.
**E_tot**: -1.926 eV per atom

Lattice parameters (Å, degrees): 13.5188 13.5188 4.9092 90.00 90.00 90.00
Closest atoms and distances in Å follow each position.
Space group I-42d (No. 122)
One atom of each set of equivalent atoms:
1 Rb 0.0641 0.2500 0.1250 [8 per cell]  2 Ag 3.54, 2 Al 3.95
2 Al 0.0000 0.0000 0.5000 [4 per cell]  2 Ag 2.45
3 Ag 0.0000 0.0000 0.0000 [4 per cell]  2 Al 2.45


Density functional theory data (PBE) for a geometry-optimized TbHoAlTc structure.

Properties
**Formation enthalpy at 0 K**: -152 meV per atom
**N(E_F)**: 3.71 states/eV/f.u.
**E_tot**: -5.981 eV per atom

Lattice parameters (Å, degrees): 7.0342 7.0342 7.0342 90.00 90.00 90.00
Closest atoms and distances in Å follow each position.
Space group F-43m (No. 216)
One atom of each set of equivalent atoms:
1 Tb 0.0000 0.0000 0.0000 [4 per cell]  4 Tc 3.05, 4 Al 3.05
2 Ho 0.0000 0.0000 0.5000 [4 per cell]  4 Al 3.05, 4 Tc 3.05
3 Al 0.2500 0.2500 0.2500 [4 per cell]  4 Tb 3.05, 4 Ho 3.05
4 Tc 0.2500 0.2500 0.7500 [4 per cell]  4 Tb 3.05, 4 Ho 3.05